# 1
! NbSb3H meta-GGA SCAN single point on PBEsol structure; values from VASP
&SYSTEM
  ibrav = 0, nat = 5, ntyp = 3
/
ATOMIC_SPECIES
Nb 92.91 Nb.upf
Sb 121.76 Sb.upf
H 1.01 H.upf
ATOMIC_POSITIONS angstrom
Nb 2.294 2.294 2.294
Sb 0.000 2.294 0.000
Sb 2.294 0.000 0.000
Sb 0.000 0.000 2.294
H 0.000 0.000 0.000
CELL_PARAMETERS angstrom
4.587 0.000 0.000
0.000 4.587 0.000
0.000 0.000 4.587
! E in eV per atom: -29.007

# 2
! NbSb2TeH meta-GGA SCAN single point on PBEsol structure; values from VASP
&SYSTEM
  ibrav = 0, nat = 5, ntyp = 4
/
ATOMIC_SPECIES
Sb 121.76 Sb.upf
Te 127.60 Te.upf
H 1.01 H.upf
Nb 92.91 Nb.upf
ATOMIC_POSITIONS angstrom
Sb 0.000 2.657 0.000
Sb 2.657 0.000 0.000
Te 0.000 0.000 2.638
H 2.657 2.657 2.638
Nb 0.000 0.000 0.000
CELL_PARAMETERS angstrom
5.313 0.000 0.000
0.000 5.313 0.000
0.000 0.000 5.276
! E in eV per atom: -28.965

# 3
! Sc3NbH meta-GGA SCAN single point on PBEsol structure; values from VASP
&SYSTEM
  ibrav = 0, nat = 5, ntyp = 3
/
ATOMIC_SPECIES
Sc 44.96 Sc.upf
Nb 92.91 Nb.upf
H 1.01 H.upf
ATOMIC_POSITIONS angstrom
Sc -0.125 2.114 0.570
Sc -1.676 0.275 -1.387
Sc -1.408 -0.515 1.600
Nb -3.210 1.874 0.784
H 0.000 0.000 0.000
CELL_PARAMETERS angstrom
-0.250 4.227 1.141
-3.353 0.550 -2.773
-2.816 -1.030 3.200
! E in eV per atom: -15.947

# 4
! Nb2HSe meta-GGA SCAN single point on PBEsol structure; values from VASP
&SYSTEM
  ibrav = 0, nat = 8, ntyp = 3
/
ATOMIC_SPECIES
Nb 92.91 Nb.upf
Se 78.96 Se.upf
H 1.01 H.upf
ATOMIC_POSITIONS angstrom
Nb 3.250 1.257 1.254
Nb 1.776 3.770 1.254
Nb 1.257 0.737 3.761
Nb -1.257 -0.737 3.761
Se 0.000 0.000 0.000
Se 0.000 2.513 2.508
H 2.513 2.513 0.000
H 2.513 0.000 2.508
CELL_PARAMETERS angstrom
5.026 0.000 0.000
0.000 5.026 0.000
-2.513 -2.513 5.015
! E in eV per atom: -22.382

# 5
! SrNbH2Se meta-GGA SCAN single point on PBEsol structure; values from VASP
&SYSTEM
  ibrav = 0, nat = 5, ntyp = 4
/
ATOMIC_SPECIES
Nb 92.91 Nb.upf
Sr 87.62 Sr.upf
Se 78.96 Se.upf
H 1.01 H.upf
ATOMIC_POSITIONS angstrom
Nb 0.000 0.000 0.000
Sr -0.932 1.881 2.909
Se -3.665 1.681 2.162
H -1.481 -1.305 0.369
H -1.252 1.105 -1.116
CELL_PARAMETERS angstrom
-2.503 2.209 -2.231
-2.961 -2.609 0.739
-1.864 3.763 5.817
! E in eV per atom: -16.468

# 6
! TaNbSi2H meta-GGA SCAN single point on PBEsol structure; values from VASP
&SYSTEM
  ibrav = 0, nat = 5, ntyp = 4
/
ATOMIC_SPECIES
Nb 92.91 Nb.upf
Si 28.09 Si.upf
H 1.01 H.upf
Ta 180.95 Ta.upf
ATOMIC_POSITIONS angstrom
Nb 0.000 0.000 2.463
Si 2.394 0.000 0.000
Si 0.000 2.394 0.000
H 2.394 2.394 2.463
Ta 0.000 0.000 0.000
CELL_PARAMETERS angstrom
4.788 0.000 0.000
0.000 4.788 0.000
0.000 0.000 4.926
! E in eV per atom: -23.118

# 7
! Nb3SnH2 meta-GGA SCAN single point on PBEsol structure; values from VASP
&SYSTEM
  ibrav = 0, nat = 12, ntyp = 3
/
ATOMIC_SPECIES
Nb 92.91 Nb.upf
H 1.01 H.upf
Sn 118.71 Sn.upf
ATOMIC_POSITIONS angstrom
Nb -3.916 1.009 1.294
Nb -2.833 -1.161 3.452
Nb -1.114 -3.843 4.074
Nb -1.808 -0.405 0.526
Nb -1.857 -3.528 1.549
Nb -1.368 1.103 3.303
H -1.751 -0.168 4.708
H -4.651 -1.560 3.972
H -1.468 -2.261 0.157
H -0.003 0.003 0.008
Sn -2.858 -2.578 6.141
Sn -4.245 1.416 4.233
CELL_PARAMETERS angstrom
-4.276 2.872 1.582
-2.930 -4.527 0.298
1.493 -0.628 5.140
! E in eV per atom: -23.996

# 8
! Ta2NbH2 meta-GGA SCAN single point on PBEsol structure; values from VASP
&SYSTEM
  ibrav = 0, nat = 5, ntyp = 3
/
ATOMIC_SPECIES
Ta 180.95 Ta.upf
Nb 92.91 Nb.upf
H 1.01 H.upf
ATOMIC_POSITIONS angstrom
Ta 0.000 0.000 3.532
Ta 1.687 1.687 1.574
Nb 0.000 0.000 0.000
H 1.687 0.000 2.553
H 0.000 1.687 2.553
CELL_PARAMETERS angstrom
3.374 0.000 0.000
0.000 3.374 0.000
-1.687 -1.687 5.106
! E in eV per atom: -34.799

# 9
! TaNb2H meta-GGA SCAN single point on PBEsol structure; values from VASP
&SYSTEM
  ibrav = 0, nat = 8, ntyp = 3
/
ATOMIC_SPECIES
Ta 180.95 Ta.upf
Nb 92.91 Nb.upf
H 1.01 H.upf
ATOMIC_POSITIONS angstrom
Ta 0.000 0.000 0.000
Ta 0.390 -2.182 -2.612
Nb -0.311 -5.028 -4.084
Nb 0.160 -2.878 -5.809
Nb 2.297 -4.094 -4.475
Nb 0.975 -5.454 -6.531
H 1.171 -6.545 -7.837
H 0.780 -4.363 -5.225
CELL_PARAMETERS angstrom
-2.642 -2.721 -4.112
2.572 -0.852 -4.894
1.630 -5.153 -1.443
! E in eV per atom: -33.733

# 10
! TaNb2H2 meta-GGA SCAN single point on PBEsol structure; values from VASP
&SYSTEM
  ibrav = 0, nat = 5, ntyp = 3
/
ATOMIC_SPECIES
Nb 92.91 Nb.upf
H 1.01 H.upf
Ta 180.95 Ta.upf
ATOMIC_POSITIONS angstrom
Nb 0.000 0.000 3.545
Nb 1.685 1.685 1.604
H 1.685 0.000 2.574
H 0.000 1.685 2.574
Ta 0.000 0.000 0.000
CELL_PARAMETERS angstrom
3.369 0.000 0.000
0.000 3.369 0.000
-1.685 -1.685 5.149
! E in eV per atom: -28.152

# 11
! Nb2TcH2 meta-GGA SCAN single point on PBEsol structure; values from VASP
&SYSTEM
  ibrav = 0, nat = 5, ntyp = 3
/
ATOMIC_SPECIES
Nb 92.91 Nb.upf
H 1.01 H.upf
Tc 98.00 Tc.upf
ATOMIC_POSITIONS angstrom
Nb 0.644 -2.107 1.585
Nb 3.430 -0.361 2.453
H 2.580 -1.690 1.193
H 1.494 -0.779 2.846
Tc 0.000 0.000 0.000
CELL_PARAMETERS angstrom
-1.756 -1.058 2.299
0.417 -2.880 -1.007
5.413 1.470 2.747
! E in eV per atom: -21.896

# 12
! Nb3TeH meta-GGA SCAN single point on PBEsol structure; values from VASP
&SYSTEM
  ibrav = 0, nat = 5, ntyp = 3
/
ATOMIC_SPECIES
Te 127.60 Te.upf
H 1.01 H.upf
Nb 92.91 Nb.upf
ATOMIC_POSITIONS angstrom
Te 2.108 2.108 2.108
H 0.000 0.000 0.000
Nb 2.108 0.000 0.000
Nb 0.000 0.000 2.108
Nb 0.000 2.108 0.000
CELL_PARAMETERS angstrom
4.215 0.000 0.000
0.000 4.215 0.000
0.000 0.000 4.215
! E in eV per atom: -28.056

# 13
! NbTeH3 meta-GGA SCAN single point on PBEsol structure; values from VASP
&SYSTEM
  ibrav = 0, nat = 5, ntyp = 3
/
ATOMIC_SPECIES
Nb 92.91 Nb.upf
H 1.01 H.upf
Te 127.60 Te.upf
ATOMIC_POSITIONS angstrom
Nb 0.000 0.000 0.000
H 0.000 1.878 0.000
H 0.000 0.000 1.878
H 1.878 0.000 0.000
Te 1.878 1.878 1.878
CELL_PARAMETERS angstrom
3.756 0.000 0.000
0.000 3.756 0.000
0.000 0.000 3.756
! E in eV per atom: -15.827

# 14
! TiNbH2 meta-GGA SCAN single point on PBEsol structure; values from VASP
&SYSTEM
  ibrav = 0, nat = 8, ntyp = 3
/
ATOMIC_SPECIES
H 1.01 H.upf
Nb 92.91 Nb.upf
Ti 47.87 Ti.upf
ATOMIC_POSITIONS angstrom
H -1.584 -4.870 -0.286
H -0.326 -1.805 -0.593
H 1.113 -4.202 -1.353
H 4.007 -5.264 -0.100
Nb 0.191 -5.610 -0.413
Nb 0.000 0.000 0.000
Ti -1.223 -3.149 0.340
Ti 1.414 -2.461 -0.753
CELL_PARAMETERS angstrom
-4.202 -2.130 -0.931
4.051 -1.772 -1.845
1.756 -4.169 1.611
! E in eV per atom: -14.358

# 15
! Ti2NbH2 meta-GGA SCAN single point on PBEsol structure; values from VASP
&SYSTEM
  ibrav = 0, nat = 5, ntyp = 3
/
ATOMIC_SPECIES
H 1.01 H.upf
Nb 92.91 Nb.upf
Ti 47.87 Ti.upf
ATOMIC_POSITIONS angstrom
H -1.830 -1.197 2.075
H 0.018 -0.177 3.009
Nb 0.000 0.000 0.000
Ti -1.774 0.467 2.998
Ti -0.039 -1.841 2.087
CELL_PARAMETERS angstrom
-1.102 -3.068 -0.174
2.594 -1.028 1.695
-3.304 2.722 3.563
! E in eV per atom: -14.679

# 16
! TiNb3H meta-GGA SCAN single point on PBEsol structure; values from VASP
&SYSTEM
  ibrav = 0, nat = 5, ntyp = 3
/
ATOMIC_SPECIES
Nb 92.91 Nb.upf
Ti 47.87 Ti.upf
H 1.01 H.upf
ATOMIC_POSITIONS angstrom
Nb -0.501 -1.956 0.545
Nb -0.975 -0.261 -1.831
Nb -1.781 0.692 0.849
Ti -3.256 -1.524 -0.438
H 0.000 0.000 0.000
CELL_PARAMETERS angstrom
-1.949 -0.521 -3.663
-1.001 -3.911 1.089
-3.562 1.385 1.698
! E in eV per atom: -23.692

# 17
! Ti2NbH meta-GGA SCAN single point on PBEsol structure; values from VASP
&SYSTEM
  ibrav = 0, nat = 4, ntyp = 3
/
ATOMIC_SPECIES
H 1.01 H.upf
Ti 47.87 Ti.upf
Nb 92.91 Nb.upf
ATOMIC_POSITIONS angstrom
H 0.000 0.000 0.000
Ti -4.254 6.519 1.476
Ti -1.418 2.173 0.492
Nb -2.836 4.346 0.984
CELL_PARAMETERS angstrom
-0.343 4.230 -0.769
-3.895 1.818 -0.353
-1.433 2.644 3.091
! E in eV per atom: -16.465

# 18
! TiNbH3 meta-GGA SCAN single point on PBEsol structure; values from VASP
&SYSTEM
  ibrav = 0, nat = 5, ntyp = 3
/
ATOMIC_SPECIES
H 1.01 H.upf
Ti 47.87 Ti.upf
Nb 92.91 Nb.upf
ATOMIC_POSITIONS angstrom
H 1.765 0.000 0.000
H 0.000 1.765 0.000
H 0.000 0.000 1.765
Ti 1.765 1.765 1.765
Nb 0.000 0.000 0.000
CELL_PARAMETERS angstrom
3.531 0.000 0.000
0.000 3.531 0.000
0.000 0.000 3.531
! E in eV per atom: -11.938

# 19
! Nb3VH meta-GGA SCAN single point on PBEsol structure; values from VASP
&SYSTEM
  ibrav = 0, nat = 5, ntyp = 3
/
ATOMIC_SPECIES
V 50.94 V.upf
Nb 92.91 Nb.upf
H 1.01 H.upf
ATOMIC_POSITIONS angstrom
V 1.024 -2.660 2.167
Nb 0.777 0.241 1.900
Nb -1.225 -1.514 0.693
Nb 1.472 -1.387 -0.426
H 0.000 0.000 0.000
CELL_PARAMETERS angstrom
-2.451 -3.027 1.386
2.945 -2.774 -0.852
1.554 0.482 3.801
! E in eV per atom: -23.867

# 20
! NbVH4 meta-GGA SCAN single point on PBEsol structure; values from VASP
&SYSTEM
  ibrav = 0, nat = 6, ntyp = 3
/
ATOMIC_SPECIES
Nb 92.91 Nb.upf
H 1.01 H.upf
V 50.94 V.upf
ATOMIC_POSITIONS angstrom
Nb 0.000 0.000 0.000
H 0.000 1.535 3.150
H 1.535 0.000 1.198
H 0.000 1.535 1.198
H 1.535 0.000 3.150
V 1.535 1.535 2.174
CELL_PARAMETERS angstrom
3.071 0.000 0.000
0.000 3.071 0.000
0.000 0.000 4.348
! E in eV per atom: -10.983

# 21
! Nb2H2W meta-GGA SCAN single point on PBEsol structure; values from VASP
&SYSTEM
  ibrav = 0, nat = 5, ntyp = 3
/
ATOMIC_SPECIES
Nb 92.91 Nb.upf
H 1.01 H.upf
W 183.84 W.upf
ATOMIC_POSITIONS angstrom
Nb 0.000 0.000 3.832
Nb 1.618 1.618 1.586
H 0.000 1.618 2.709
H 1.618 0.000 2.709
W 0.000 0.000 0.000
CELL_PARAMETERS angstrom
3.236 0.000 0.000
0.000 3.236 0.000
-1.618 -1.618 5.419
! E in eV per atom: -28.716

# 22
! NbH3W meta-GGA SCAN single point on PBEsol structure; values from VASP
&SYSTEM
  ibrav = 0, nat = 5, ntyp = 3
/
ATOMIC_SPECIES
H 1.01 H.upf
W 183.84 W.upf
Nb 92.91 Nb.upf
ATOMIC_POSITIONS angstrom
H 1.747 0.000 0.000
H 0.000 0.000 1.747
H 0.000 1.747 0.000
W 1.747 1.747 1.747
Nb 0.000 0.000 0.000
CELL_PARAMETERS angstrom
3.494 0.000 0.000
0.000 3.494 0.000
0.000 0.000 3.494
! E in eV per atom: -21.959

# 23
! Nb2ZnH meta-GGA SCAN single point on PBEsol structure; values from VASP
&SYSTEM
  ibrav = 0, nat = 8, ntyp = 3
/
ATOMIC_SPECIES
Nb 92.91 Nb.upf
Zn 65.41 Zn.upf
H 1.01 H.upf
ATOMIC_POSITIONS angstrom
Nb 1.310 0.694 3.115
Nb 0.688 3.379 1.754
Nb 3.856 0.612 2.273
Nb -0.132 3.790 -0.766
Zn 0.000 0.000 0.000
Zn 2.717 2.192 0.344
H 0.144 2.046 2.845
H 2.490 -0.542 2.530
CELL_PARAMETERS angstrom
-0.082 -0.687 5.031
5.063 -0.396 0.028
-2.120 5.321 -1.871
! E in eV per atom: -20.237

# 24
! Nb2ZnH2 meta-GGA SCAN single point on PBEsol structure; values from VASP
&SYSTEM
  ibrav = 0, nat = 5, ntyp = 3
/
ATOMIC_SPECIES
H 1.01 H.upf
Nb 92.91 Nb.upf
Zn 65.41 Zn.upf
ATOMIC_POSITIONS angstrom
H 0.919 1.680 2.080
H -1.077 2.491 0.792
Nb -0.971 1.352 2.356
Nb 0.813 2.820 0.516
Zn 0.000 0.000 0.000
CELL_PARAMETERS angstrom
-3.355 0.817 0.822
0.636 -0.805 3.398
2.561 4.159 -1.348
! E in eV per atom: -17.525

# 25
! NbZn2H meta-GGA SCAN single point on PBEsol structure; values from VASP
&SYSTEM
  ibrav = 0, nat = 8, ntyp = 3
/
ATOMIC_SPECIES
H 1.01 H.upf
Zn 65.41 Zn.upf
Nb 92.91 Nb.upf
ATOMIC_POSITIONS angstrom
H 1.498 0.800 2.703
H 3.550 -0.152 0.451
Zn 2.493 -0.039 1.702
Zn -1.210 -1.651 1.858
Zn 0.463 -0.280 3.380
Zn 4.370 -1.563 0.631
Nb 0.000 0.000 0.000
Nb 1.560 -2.567 1.082
CELL_PARAMETERS angstrom
-4.043 -1.462 2.883
3.612 -3.519 -1.170
3.489 3.214 2.072
! E in eV per atom: -15.540

# 26
! ZrNb2H meta-GGA SCAN single point on PBEsol structure; values from VASP
&SYSTEM
  ibrav = 0, nat = 4, ntyp = 3
/
ATOMIC_SPECIES
H 1.01 H.upf
Zr 91.22 Zr.upf
Nb 92.91 Nb.upf
ATOMIC_POSITIONS angstrom
H 0.000 0.000 0.000
Zr 4.496 2.596 1.835
Nb 2.248 1.298 0.918
Nb 6.744 3.893 2.753
CELL_PARAMETERS angstrom
4.496 0.000 0.000
2.248 3.893 0.000
2.248 1.298 3.671
! E in eV per atom: -24.041

# 27
! ZrNbH2 meta-GGA SCAN single point on PBEsol structure; values from VASP
&SYSTEM
  ibrav = 0, nat = 4, ntyp = 3
/
ATOMIC_SPECIES
Nb 92.91 Nb.upf
H 1.01 H.upf
Zr 91.22 Zr.upf
ATOMIC_POSITIONS angstrom
Nb -1.974 3.213 3.061
H -2.961 4.820 4.591
H -0.987 1.607 1.530
Zr 0.000 0.000 0.000
CELL_PARAMETERS angstrom
-3.059 2.455 0.589
-1.447 0.524 3.655
0.558 3.448 1.878
! E in eV per atom: -17.372

# 28
! NdH3 meta-GGA SCAN single point on PBEsol structure; values from VASP
&SYSTEM
  ibrav = 0, nat = 4, ntyp = 2
/
ATOMIC_SPECIES
Nd 144.24 Nd.upf
H 1.01 H.upf
ATOMIC_POSITIONS angstrom
Nd 0.000 0.000 0.000
H -6.645 0.929 -1.707
H -2.215 0.310 -0.569
H -4.430 0.619 -1.138
CELL_PARAMETERS angstrom
-2.423 0.331 -2.867
-3.481 -1.412 0.302
-2.956 2.320 0.289
! E in eV per atom: -14.109